# 1
Compound: Cs4CuP2Au
Source: OQMD
Functional: GGA-PBE
Structure: optimized geometry

Values from the calculation:
Energy (eV per cell): -24.11
SG: C2/m, No. 12

Cell: 6.708 6.708 6.622 Å, 90.13 90.13 110.26°
Fractional positions:
Cs 0.020 0.681 0.751
Cs 0.319 0.980 0.249
Cs 0.681 0.020 0.751
Cs 0.980 0.319 0.249
Cu 0.500 0.500 0.000
P 0.285 0.285 0.767
P 0.715 0.715 0.233
Au 0.500 0.500 0.500

---

# 2
Compound: CsCuAu2S2
Source: OQMD
Functional: GGA-PBE
Structure: optimized geometry

Values from the calculation:
Energy (eV per cell): -22.53
SG: C2/m, No. 12

Cell: 5.866 5.866 5.666 Å, 90.43 90.43 66.27°
Fractional positions:
Cs 0.000 0.000 0.000
Cu 0.500 0.500 0.500
Au 0.000 0.500 0.500
Au 0.500 0.000 0.500
S 0.340 0.340 0.763
S 0.660 0.660 0.237

---

# 3
Compound: CsDyAuSe3
Source: OQMD
Functional: GGA-PBE
Structure: optimized geometry

Values from the calculation:
Energy (eV per cell): -51.88
SG: Cmcm, No. 63

Cell: 8.403 8.403 10.739 Å, 90.00 90.00 151.78°
Fractional positions:
Cs 0.250 0.750 0.750
Cs 0.750 0.250 0.250
Dy 0.000 0.000 0.000
Dy 0.000 0.000 0.500
Au 0.463 0.537 0.250
Au 0.537 0.463 0.750
Se 0.067 0.933 0.250
Se 0.379 0.621 0.046
Se 0.379 0.621 0.454
Se 0.621 0.379 0.546
Se 0.621 0.379 0.954
Se 0.933 0.067 0.750